1.
{
  "formula": "NbMoPd",
  "functional": "GGA-PBE",
  "state": "relaxed",
  "lattice": [[-2.392, 1.467, 1.471], [-2.076, -1.768, -1.613], [2.482, -7.152, 7.756]],
  "species": ["Mo", "Mo", "Nb", "Nb", "Pd", "Pd"],
  "frac_coords": [[0.285, 0.285, 0.571], [0.715, 0.715, 0.429], [0.133, 0.133, 0.266], [0.867, 0.867, 0.734], [0.561, 0.561, 0.122], [0.439, 0.439, 0.878]],
  "magnetic_moment_mub_per_fu": 0.00,
  "total_energy_ev_per_fu": -26.263,
  "space_group": "I4/mmm",
  "polymorph_energy_mev_per_atom": 115.8
}



2.
{
  "formula": "Nb2MoPd2",
  "functional": "GGA-PBE",
  "state": "relaxed",
  "lattice": [[-4.731, -5.260, -3.371], [-2.214, -2.543, 7.075], [-2.070, 1.851, 0.017]],
  "species": ["Mo", "Mo", "Nb", "Nb", "Nb", "Nb", "Pd", "Pd", "Pd", "Pd"],
  "frac_coords": [[0.000, 0.000, 0.000], [0.500, 0.500, 0.000], [0.177, 0.677, 0.500], [0.677, 0.823, 0.500], [0.823, 0.323, 0.500], [0.323, 0.177, 0.500], [0.379, 0.879, 0.000], [0.879, 0.621, 0.000], [0.621, 0.121, 0.000], [0.121, 0.379, 0.000]],
  "magnetic_moment_mub_per_fu": 0.00,
  "total_energy_ev_per_fu": -41.113,
  "space_group": "P4/mbm"
}



3.
{
  "formula": "NbMo3Pd",
  "functional": "GGA-PBE",
  "state": "relaxed",
  "lattice": [[4.701, 0.000, 0.000], [0.000, 4.701, 0.000], [0.000, 0.000, 4.701]],
  "species": ["Mo", "Mo", "Mo", "Nb", "Pd"],
  "frac_coords": [[0.000, 0.500, 0.000], [0.000, 0.000, 0.500], [0.500, 0.000, 0.000], [0.000, 0.000, 0.000], [0.500, 0.500, 0.500]],
  "magnetic_moment_mub_per_fu": 0.00,
  "total_energy_ev_per_fu": -38.756,
  "space_group": "Pm-3m",
  "polymorph_energy_mev_per_atom": 0.0
}



4.
{
  "formula": "NbMoPd",
  "functional": "GGA-PBE",
  "state": "relaxed",
  "lattice": [[-2.157, -3.244, -2.317], [1.366, -0.778, 4.251], [-4.877, 1.878, 1.911]],
  "species": ["Nb", "Nb", "Mo", "Mo", "Pd", "Pd"],
  "frac_coords": [[0.333, 0.667, 0.694], [0.000, 0.000, 0.888], [0.667, 0.333, 0.503], [0.000, 0.000, 0.413], [0.333, 0.667, 0.195], [0.667, 0.333, 0.001]],
  "magnetic_moment_mub_per_fu": 0.00,
  "total_energy_ev_per_fu": -26.263,
  "space_group": "P3m1",
  "polymorph_energy_mev_per_atom": 115.6
}